No. 1
Here is Sr2Li4H after structural relaxation from Alexandria via LeMat-Bulk. Energies are from PBE-GGA.

a b c (Å): 4.314 4.314 20.550
angles (deg): 90.00 90.00 90.00
Space group I4/mmm (No. 139)
Unique sites:
Sr1 0.000 0.000 0.178
Li1 0.000 0.000 0.409
Li2 0.000 0.500 0.000
H1 0.000 0.000 0.500

***

No. 2
Here is Sr3LiH after structural relaxation from Alexandria via LeMat-Bulk. Energies are from PBE-GGA.

a b c (Å): 5.567 5.567 5.567
angles (deg): 90.00 90.00 90.00
Space group Pm-3m (No. 221)
Unique sites:
Sr1 0.000 0.000 0.500
Li1 0.500 0.500 0.500
H1 0.000 0.000 0.000

***

No. 3
Here is SrLiH after structural relaxation from Alexandria via LeMat-Bulk. Energies are from PBE-GGA.

a b c (Å): 13.487 4.034 5.801
angles (deg): 90.00 104.53 90.00
Space group C2/m (No. 12)
Unique sites:
Sr1 0.143 0.000 0.263
Li1 0.099 0.500 0.708
H1 0.180 0.500 0.499

***

No. 4
Here is SrLi2H2 after structural relaxation from Alexandria via LeMat-Bulk. Energies are from PBE-GGA.

a b c (Å): 3.753 3.753 12.592
angles (deg): 90.00 90.00 90.00
Space group I4/mmm (No. 139)
Unique sites:
Sr1 0.000 0.000 0.000
Li1 0.000 0.500 0.250
H1 0.000 0.000 0.203

***

No. 5
Here is Sr4Li3H10 after structural relaxation from Alexandria via LeMat-Bulk. Energies are from PBE-GGA.

a b c (Å): 3.812 3.812 28.318
angles (deg): 90.00 90.00 90.00
Space group I4/mmm (No. 139)
Unique sites:
Sr1 0.000 0.000 0.067
Sr2 0.000 0.000 0.199
Li1 0.000 0.000 0.366
Li2 0.000 0.000 0.500
H1 0.000 0.000 0.289
H2 0.000 0.000 0.433
H3 0.000 0.500 0.000
H4 0.000 0.500 0.135

***

No. 6
Here is SrLi2H2 after structural relaxation from Alexandria via LeMat-Bulk. Energies are from PBE-GGA.

a b c (Å): 6.735 6.735 4.265
angles (deg): 90.00 90.00 90.00
Space group P4/mbm (No. 127)
Unique sites:
Sr1 0.000 0.000 0.000
Li1 0.153 0.347 0.500
H1 0.162 0.338 0.000

***

No. 7
Here is SrLiTcH2 after structural relaxation from Alexandria via LeMat-Bulk. Energies are from PBE-GGA.

a b c (Å): 3.951 3.951 5.273
angles (deg): 90.00 90.00 90.00
Space group P4/mmm (No. 123)
Unique sites:
Sr1 0.000 0.000 0.000
Li1 0.500 0.500 0.000
Tc1 0.000 0.000 0.500
H1 0.000 0.500 0.500

***

No. 8
Here is SrLiTe2H after structural relaxation from Alexandria via LeMat-Bulk. Energies are from PBE-GGA.

a b c (Å): 6.176 6.176 6.975
angles (deg): 90.00 90.00 90.00
Space group P4/mmm (No. 123)
Unique sites:
Sr1 0.000 0.000 0.000
Li1 0.000 0.000 0.500
Te1 0.000 0.500 0.000
H1 0.500 0.500 0.500

***

No. 9
Here is Sr2LiTeH after structural relaxation from Alexandria via LeMat-Bulk. Energies are from PBE-GGA.

a b c (Å): 5.495 5.495 4.199
angles (deg): 90.00 90.00 90.00
Space group P4/mmm (No. 123)
Unique sites:
Sr1 0.000 0.500 0.000
Li1 0.000 0.000 0.500
Te1 0.500 0.500 0.500
H1 0.000 0.000 0.000

***

No. 10
Here is Sr2LiZnH after structural relaxation from Alexandria via LeMat-Bulk. Energies are from PBE-GGA.

a b c (Å): 5.416 5.416 4.138
angles (deg): 90.00 90.00 90.00
Space group P4/mmm (No. 123)
Unique sites:
Sr1 0.000 0.500 0.000
Li1 0.000 0.000 0.500
Zn1 0.500 0.500 0.500
H1 0.000 0.000 0.000

***

No. 11
Here is Sr2LiZnH6 after structural relaxation from Alexandria via LeMat-Bulk. Energies are from PBE-GGA.

a b c (Å): 7.722 7.714 5.455
angles (deg): 90.00 134.79 90.00
Space group C2/m (No. 12)
Unique sites:
Sr1 0.000 0.250 0.000
Li1 0.000 0.000 0.500
Zn1 0.000 0.500 0.500
H1 0.000 0.254 0.500
H2 0.246 0.500 0.502
H3 0.246 0.500 0.990

***

No. 12
Here is SrLiZn2H6 after structural relaxation from Alexandria via LeMat-Bulk. Energies are from PBE-GGA.

a b c (Å): 4.8433 4.8433 16.6010
angles (deg): 90.00 90.00 120.00
Space group R-3 (No. 148, hexagonal axes)
Unique sites:
Sr1 0.0000 0.0000 0.0000
Li1 0.0000 0.0000 0.5000
Zn1 0.0000 0.0000 0.2282
H1 0.0335 0.5190 0.0761

***

These records have final energy values of -0.152 -0.158 -0.186 -0.194 -0.234 -0.182 -0.240 -0.163 -0.219 -0.162 -0.218 -0.202 Ry/atom, in the order they appear.